First-principles (PBE) data for an optimized crystal structure of LaCdIn, as listed in the Alexandria database.

POSCAR file:
```
LaCdIn
1.0
3.3580 0.0000 0.0000
0.0000 4.9570 0.0000
0.0000 0.0000 10.1211
La Cd In
2 2 2
Direct
0.0000 0.0000 0.0000
0.0000 0.0000 0.3653
0.5000 0.0000 0.6798
0.5000 0.5000 0.5235
0.5000 0.5000 0.1863
0.5000 0.5000 0.8447
```

Values from the calculation:
The density of states at the Fermi level is 2.28 states/eV/f.u. The total energy is -9.61 eV/f.u. The value obtained for the total magnetic moment is 0.03 μB per formula unit.